Record 1
{"formula": "KCd3Rh", "functional": "PBE", "state": "relaxed", "relative_energy_ev_per_atom": 0.132, "ef_ev_per_fu": 0.1, "dos_at_fermi_per_ev_atom": 0.267, "m_tot_mub_per_cell": 0.0, "cell": [[4.854, 0.000, 2.282], [0.000, 8.317, 0.000], [0.384, 0.000, 7.075]], "species": ["K", "K", "Rh", "Rh", "Cd", "Cd", "Cd", "Cd", "Cd", "Cd"], "frac_coords": [[0.000, 0.250, 0.500], [0.000, 0.750, 0.500], [0.000, 0.250, 0.000], [0.000, 0.750, 0.000], [0.302, 0.500, 0.750], [0.698, 0.500, 0.250], [0.302, 0.000, 0.750], [0.698, 0.000, 0.250], [0.500, 0.250, 0.000], [0.500, 0.750, 0.000]]}



Record 2
{"formula": "KCdRh2", "functional": "PBE", "state": "relaxed", "ef_ev_per_fu": 2.3, "dos_at_fermi_per_ev_atom": 1.257, "m_tot_mub_per_cell": 1.2, "cell": [[-4.945, -1.909, -1.396], [3.917, -1.541, -3.510], [0.452, -2.266, 1.499]], "species": ["Cd", "K", "Rh", "Rh"], "frac_coords": [[0.500, 0.000, 0.500], [0.000, 0.500, 0.500], [0.000, 0.000, 0.000], [0.500, 0.500, 0.000]]}



Record 3
{"formula": "KCd3Rh", "functional": "PBE", "state": "relaxed", "relative_energy_ev_per_atom": 0.045, "ef_ev_per_fu": -0.4, "dos_at_fermi_per_ev_atom": 0.548, "m_tot_mub_per_cell": 0.0, "cell": [[-4.106, -2.197, -2.912], [5.259, -6.184, -5.397], [0.931, -3.839, 3.715]], "species": ["K", "K", "Rh", "Rh", "Cd", "Cd", "Cd", "Cd", "Cd", "Cd"], "frac_coords": [[0.831, 0.962, 0.874], [0.503, 0.665, 0.125], [0.027, 0.416, 0.577], [0.306, 0.211, 0.421], [0.784, 0.216, 0.342], [0.302, 0.174, 0.938], [0.032, 0.453, 0.061], [0.258, 0.944, 0.459], [0.550, 0.410, 0.657], [0.075, 0.682, 0.540]]}



Repeat the third record exactly.
{"formula": "KCd3Rh", "functional": "PBE", "state": "relaxed", "relative_energy_ev_per_atom": 0.045, "ef_ev_per_fu": -0.4, "dos_at_fermi_per_ev_atom": 0.548, "m_tot_mub_per_cell": 0.0, "cell": [[-4.106, -2.197, -2.912], [5.259, -6.184, -5.397], [0.931, -3.839, 3.715]], "species": ["K", "K", "Rh", "Rh", "Cd", "Cd", "Cd", "Cd", "Cd", "Cd"], "frac_coords": [[0.831, 0.962, 0.874], [0.503, 0.665, 0.125], [0.027, 0.416, 0.577], [0.306, 0.211, 0.421], [0.784, 0.216, 0.342], [0.302, 0.174, 0.938], [0.032, 0.453, 0.061], [0.258, 0.944, 0.459], [0.550, 0.410, 0.657], [0.075, 0.682, 0.540]]}



Number 3 is which compound?
KCd3Rh